1.
Entry from Alexandria: a relaxed Al2HgOs crystal (PBE).

Structure (POSCAR):
```
Al2HgOs
1.0
-2.7676 1.9713 -2.9240
-3.5190 -1.3027 2.4526
0.1605 2.6711 1.6490
Al Hg Os
2 1 1
Direct
0.5000 0.5000 0.0000 Al
0.0000 0.0000 0.0000 Al
0.5000 0.0000 0.5000 Hg
0.0000 0.5000 0.5000 Os
```

Computed properties:
Energy of formation from the pure elements (kJ/mol of formula units): 48.3
Total magnetic moment (μB per formula unit): 0.00
DOS at the Fermi energy (states/eV/atom): 0.713
VASP energy (eV per atom): -4.629
Space-group type: No. 123

2.
Entry from Alexandria: a relaxed BiPd2Se2 crystal (PBE).

Structure (POSCAR):
```
BiPd2Se2
1.0
4.3138 0.0000 0.0000
0.0000 5.1299 -0.3468
0.0000 0.6857 10.1286
Pd Se Bi
4 4 2
Direct
0.2500 0.2616 0.9004 Pd
0.7500 0.7384 0.0996 Pd
0.2500 0.2617 0.5996 Pd
0.7500 0.7383 0.4004 Pd
0.7500 0.2330 0.4509 Se
0.2500 0.7670 0.9508 Se
0.2500 0.7670 0.5491 Se
0.7500 0.2330 0.0492 Se
0.2500 0.5263 0.2500 Bi
0.7500 0.4737 0.7500 Bi
```

Computed properties:
Raw formation energy (eV/atom): -0.20
Total magnetic moment (μB per formula unit): 0.00
DOS at the Fermi energy (states/eV/atom): 0.565
VASP energy (eV per atom): -4.444
Space-group type: No. 59

3.
Entry from Alexandria: a relaxed LaPmThTc crystal (PBE).

Structure (POSCAR):
```
LaPmThTc
1.0
4.6163 -0.0169 -0.0081
-2.2959 4.0049 0.0081
-2.3008 -1.3304 6.7468
Tc Pm Th La
1 1 1 1
Direct
0.5438 0.6364 0.1802 Tc
0.3730 0.0509 0.4239 Pm
0.8267 0.2775 0.1043 Th
0.9486 0.8396 0.7882 La
```

Computed properties:
Energy of formation from the pure elements (kJ/mol of formula units): 49.5
Total magnetic moment (μB per formula unit): 0.00
DOS at the Fermi energy (states/eV/atom): 1.292
VASP energy (eV per atom): -6.738
Space-group type: No. 8

4.
Entry from Alexandria: a relaxed MoPRu2Br crystal (PBE).

Structure (POSCAR):
```
MoPRu2Br
1.0
-4.0399 -0.0152 1.5729
-1.7208 -2.2401 -4.4412
0.6822 -3.9231 1.7144
Ru Mo P Br
2 1 1 1
Direct
0.0000 0.0000 0.5000 Ru
0.5000 0.0000 0.0000 Ru
0.5000 0.5000 0.5000 Mo
0.0000 0.0000 0.0000 P
0.0000 0.5000 0.0000 Br
```

Computed properties:
Raw formation energy (eV/atom): 1.16
Total magnetic moment (μB per formula unit): 1.98
DOS at the Fermi energy (states/eV/atom): 0.360
VASP energy (eV per atom): -6.132
Space-group type: No. 123

Which formula does entry 2 have? BiPd2Se2